Entry 1:
DFT (PBE-GGA) results for a geometry-optimized CsErLuTe3 structure.

Lattice parameters (Å, degrees): 9.087 9.087 11.808 90.00 90.00 150.63
Positions (direct):
Lu: 0.036 0.964 0.250
Te: 0.564 0.436 0.750
Cs: 0.245 0.755 0.750
Er: 0.500 0.500 0.500
Cs: 0.755 0.245 0.250
Lu: 0.964 0.036 0.750
Te: 0.120 0.880 0.457
Er: 0.500 0.500 0.000
Te: 0.880 0.120 0.957
Te: 0.880 0.120 0.543
Te: 0.436 0.564 0.250
Te: 0.120 0.880 0.043

Density   5.96 Mg/m³
Polymorph energy (0 for the lowest one)   0.00 eV/f.u.

Entry 2:
DFT (PBE-GGA) results for a geometry-optimized CsErMg structure.

Lattice parameters (Å, degrees): 5.778 5.778 5.778 60.00 60.00 60.00
Positions (direct):
Mg: 0.250 0.250 0.250
Er: 0.750 0.750 0.750
Cs: 0.000 0.000 0.000

Density   3.95 Mg/m³
Final energy   -3.495 eV for the cell shown

Entry 3:
DFT (PBE-GGA) results for a geometry-optimized CsErMg structure.

Lattice parameters (Å, degrees): 5.907 5.907 5.907 60.00 60.00 60.00
Positions (direct):
Cs: 0.250 0.250 0.250
Er: 0.750 0.750 0.750
Mg: 0.000 0.000 0.000

Density   3.70 Mg/m³
Final energy   -4.439 eV for the cell shown

Entry 4:
DFT (PBE-GGA) results for a geometry-optimized CsErMgS3 structure.

Lattice parameters (Å, degrees): 9.244 4.113 10.067 90.00 111.30 90.00
Positions (direct):
S: 0.309 0.250 0.946
S: 0.630 0.250 0.363
S: 0.691 0.750 0.054
Er: 0.167 0.250 0.631
Cs: 0.278 0.750 0.260
S: 0.020 0.250 0.351
Er: 0.833 0.750 0.369
Cs: 0.722 0.250 0.740
Mg: 0.415 0.750 0.886
Mg: 0.585 0.250 0.114
S: 0.980 0.750 0.649
S: 0.370 0.750 0.637

Density   3.92 Mg/m³
Final energy   -58.940 eV for the cell shown

Calculated volume, respectively: 478.2 136.4 145.7 356.6 Å³ per cell.
Magnetic moment, respectively: 0.0 0.0 0.0 0.0 Bohr magnetons per cell.